The following is a DFT calculation (GGA-PBE) of a relaxed UTe2PdS crystal.

Output
formation energy from raw total energies = -0.675 eV/atom

Geometry as CIF:
```
data_UTe2PdS
_chemical_formula_sum 'U2 Te4 Pd2 S2'
_cell_length_a 4.137
_cell_length_b 4.137
_cell_length_c 14.563
_cell_angle_alpha 90.00
_cell_angle_beta 90.00
_cell_angle_gamma 90.00
_space_group_name_H-M_alt 'P 4/n m m'
_space_group_IT_number 129
loop_
_space_group_symop_operation_xyz
'x,y,z'
'-x,-y,-z'
'-y+1/2,x,z'
'y+1/2,-x,-z'
'-x+1/2,-y+1/2,z'
'x+1/2,y+1/2,-z'
'y,-x+1/2,z'
'-y,x+1/2,-z'
'x+1/2,-y,-z'
'-x+1/2,y,z'
'-y,-x,-z'
'y,x,z'
'-x,y+1/2,-z'
'x,-y+1/2,z'
'y+1/2,x+1/2,-z'
'-y+1/2,-x+1/2,z'
loop_
_atom_site_label
_atom_site_fract_x
_atom_site_fract_y
_atom_site_fract_z
_atom_site_occupancy
U1 0.250 0.250 0.119 1
Te1 0.250 0.250 0.418 1
Te2 0.250 0.250 0.784 1
Pd1 0.250 0.250 0.600 1
S1 0.250 0.750 0.000 1
```


The following is a DFT calculation (GGA-PBE) of a relaxed TePdWS2 crystal.

Output
formation energy from raw total energies = 1.574 eV/atom

Geometry as CIF:
```
data_TePdWS2
_chemical_formula_sum 'Te1 Pd1 W1 S2'
_cell_length_a 5.064
_cell_length_b 5.064
_cell_length_c 4.905
_cell_angle_alpha 90.00
_cell_angle_beta 90.00
_cell_angle_gamma 90.00
_space_group_name_H-M_alt 'P 4/m m m'
_space_group_IT_number 123
_space_group_name_Hall '-P 4 2'
loop_
_atom_site_label
_atom_site_fract_x
_atom_site_fract_y
_atom_site_fract_z
_atom_site_occupancy
Te1 0.000 0.000 0.000 1
Pd1 0.000 0.000 0.500 1
W1 0.500 0.500 0.500 1
S1 0.000 0.500 0.000 1
```


The following is a DFT calculation (GGA-PBE) of a relaxed Th2PdS crystal.

Output
energy relative to the lowest polymorph listed for this composition = 461.1 meV per atom
formation energy from raw total energies = -0.605 eV/atom

Geometry as CIF:
```
data_Th2PdS
_chemical_formula_sum 'Th6 Pd3 S3'
_cell_length_a 3.5255
_cell_length_b 3.5255
_cell_length_c 28.5404
_cell_angle_alpha 90.00
_cell_angle_beta 90.00
_cell_angle_gamma 120.00
_space_group_name_H-M_alt 'R -3 m'
_space_group_IT_number 166
_space_group_name_Hall '-R 3 2"'
loop_
_atom_site_label
_atom_site_fract_x
_atom_site_fract_y
_atom_site_fract_z
_atom_site_occupancy
Th1 0.0000 0.0000 0.0948 1
Pd1 0.0000 0.0000 0.0000 1
S1 0.0000 0.0000 0.5000 1
```


The following is a DFT calculation (GGA-PBE) of a relaxed Th2PdS crystal.

Output
energy relative to the lowest polymorph listed for this composition = 0.0 meV per atom
formation energy from raw total energies = -1.066 eV/atom

Geometry as CIF:
```
data_Th2PdS
_chemical_formula_sum 'Th6 Pd3 S3'
_cell_length_a 3.9786
_cell_length_b 3.9786
_cell_length_c 22.5410
_cell_angle_alpha 90.00
_cell_angle_beta 90.00
_cell_angle_gamma 120.00
_space_group_name_H-M_alt 'R 3 m'
_space_group_IT_number 160
_space_group_name_Hall 'R 3 -2"'
loop_
_atom_site_label
_atom_site_fract_x
_atom_site_fract_y
_atom_site_fract_z
_atom_site_occupancy
Th1 0.0000 0.0000 0.0000 1
Th2 0.0000 0.0000 0.1705 1
Pd1 0.0000 0.0000 0.5867 1
S1 0.0000 0.0000 0.4185 1
```


The following is a DFT calculation (GGA-PBE) of a relaxed Th3Pd5S12 crystal.

Output
formation energy from raw total energies = -0.906 eV/atom

Geometry as CIF:
```
data_Th3Pd5S12
_chemical_formula_sum 'Th24 Pd40 S96'
_cell_length_a 15.141
_cell_length_b 15.141
_cell_length_c 15.141
_cell_angle_alpha 90.00
_cell_angle_beta 90.00
_cell_angle_gamma 90.00
_space_group_name_H-M_alt 'I a -3 d'
_space_group_IT_number 230
_space_group_name_Hall '-I 4bd 2c 3'
loop_
_atom_site_label
_atom_site_fract_x
_atom_site_fract_y
_atom_site_fract_z
_atom_site_occupancy
Th1 0.000 0.250 0.125 1
Pd1 0.000 0.000 0.000 1
Pd2 0.000 0.250 0.375 1
S1 0.024 0.059 0.648 1
```


The following is a DFT calculation (GGA-PBE) of a relaxed Th3PdS6 crystal.

Output
formation energy from raw total energies = -1.641 eV/atom

Geometry as CIF:
```
data_Th3PdS6
_chemical_formula_sum 'Th18 Pd6 S36'
_cell_length_a 12.3764
_cell_length_b 12.3764
_cell_length_c 11.1809
_cell_angle_alpha 90.00
_cell_angle_beta 90.00
_cell_angle_gamma 120.00
_space_group_name_H-M_alt 'R -3'
_space_group_IT_number 148
_space_group_name_Hall '-R 3'
loop_
_atom_site_label
_atom_site_fract_x
_atom_site_fract_y
_atom_site_fract_z
_atom_site_occupancy
Th1 0.0566 0.2694 0.1582 1
Pd1 0.0000 0.0000 0.0000 1
Pd2 0.0000 0.0000 0.5000 1
S1 0.0391 0.2183 0.8963 1
S2 0.0428 0.2112 0.3971 1
```


The following is a DFT calculation (GGA-PBE) of a relaxed ThPdS2 crystal.

Output
formation energy from raw total energies = -0.308 eV/atom

Geometry as CIF:
```
data_ThPdS2
_chemical_formula_sum 'Th3 Pd3 S6'
_cell_length_a 3.7079
_cell_length_b 3.7079
_cell_length_c 23.8530
_cell_angle_alpha 90.00
_cell_angle_beta 90.00
_cell_angle_gamma 120.00
_space_group_name_H-M_alt 'R -3 m'
_space_group_IT_number 166
_space_group_name_Hall '-R 3 2"'
loop_
_atom_site_label
_atom_site_fract_x
_atom_site_fract_y
_atom_site_fract_z
_atom_site_occupancy
Th1 0.0000 0.0000 0.0000 1
Pd1 0.0000 0.0000 0.5000 1
S1 0.0000 0.0000 0.1142 1
```


The following is a DFT calculation (GGA-PBE) of a relaxed ThTlPdS3 crystal.

Output
formation energy from raw total energies = -1.123 eV/atom

Geometry as CIF:
```
data_ThTlPdS3
_chemical_formula_sum 'Th2 Tl2 Pd2 S6'
_cell_length_a 8.767
_cell_length_b 4.203
_cell_length_c 9.275
_cell_angle_alpha 90.00
_cell_angle_beta 106.98
_cell_angle_gamma 90.00
_space_group_name_H-M_alt 'P 1 21/m 1'
_space_group_IT_number 11
_space_group_name_Hall '-P 2yb'
loop_
_atom_site_label
_atom_site_fract_x
_atom_site_fract_y
_atom_site_fract_z
_atom_site_occupancy
Th1 0.189 0.250 0.163 1
Tl1 0.307 0.750 0.769 1
Pd1 0.401 0.750 0.441 1
S1 0.034 0.250 0.847 1
S2 0.296 0.250 0.478 1
S3 0.381 0.750 0.132 1
```